[1]
Material: BeAlAu2
Method: DFT, GGA-PBE
State: optimized geometry

Cell lengths 3.376, 3.382, 5.354 Å; angles 90.00, 90.00, 90.00 degrees
Element x y z (fractional)
Au (0.500, 0.500, 0.302)
Be (0.000, 0.000, 0.476)
Au (0.000, 0.000, 0.958)
Al (0.500, 0.500, 0.764)

Summary:
The energy of formation from the pure elements comes out at -0.24 eV/atom. Its space-group type is P4mm. For the density of states at the Fermi level, the calculation gives 0.1890 states/eV/atom. The size of the total moment comes out at 0.00 μB per cell.

---

[2]
Material: BeAl2Au
Method: DFT, GGA-PBE
State: optimized geometry

Cell lengths 4.790, 4.790, 4.790 Å; angles 132.02, 131.98, 70.23 degrees
Element x y z (fractional)
Be (0.250, 0.750, 0.500)
Al (0.750, 0.250, 0.500)
Al (0.000, 0.000, 0.000)
Au (0.500, 0.500, 0.000)

Summary:
The energy of formation from the pure elements comes out at 0.01 eV/atom. Its space-group type is I-4m2. For the density of states at the Fermi level, the calculation gives 0.4248 states/eV/atom. The size of the total moment comes out at 0.00 μB per cell.

---

Question: Number 1 is which compound?
Answer: BeAlAu2